Record 1
The following is a PBE calculation of crystalline Li2Mg3Zn3 at its relaxed geometry, from the Alexandria database.

Cell: 2.9147 7.4375 7.4375 Å, 120.00 90.00 90.00°
With the nearest neighbours (Å) after each atom.
Atoms (fractional coordinates):
Li: 0.0000 0.3333 0.6667  6 Zn 2.72, 3 Mg 2.83, 2 Li 2.91
Li: 0.0000 0.6667 0.3333  6 Zn 2.72, 3 Mg 2.83, 2 Li 2.91
Mg: 0.0000 0.7483 0.7483  2 Li 2.83, 2 Mg 2.91, 6 Zn 2.94-3.03
Mg: 0.0000 0.2517 0.0000  2 Li 2.83, 2 Mg 2.91, 6 Zn 2.94-3.03
Mg: 0.0000 0.0000 0.2517  2 Li 2.83, 2 Mg 2.91, 6 Zn 2.94-3.03
Zn: 0.5000 0.3915 0.3915  4 Li 2.72, 2 Zn 2.91, 6 Mg 2.94-3.03
Zn: 0.5000 0.6085 0.0000  4 Li 2.72, 2 Zn 2.91, 6 Mg 2.94-3.03
Zn: 0.5000 0.0000 0.6085  4 Li 2.72, 2 Zn 2.91, 6 Mg 2.94-3.03

The calculation puts the energy above the most stable polymorph in this dataset at 0.0 kJ/mol of atoms. The value obtained for the calculated volume is 139.6 Å³ per cell. For the total energy, the calculation gives -1.651 eV/atom. The formation energy is -0.097 eV/atom. As for the space group: P-62m.

=====

Record 2
The following is a PBE calculation of crystalline Li7Mg3Zn2 at its relaxed geometry, from the Alexandria database.

Cell: 3.1914 4.6576 15.4201 Å, 99.04 90.00 90.00°
With the nearest neighbours (Å) after each atom.
Atoms (fractional coordinates):
Li: 0.5000 0.7300 0.4607  1 Zn 2.59, 2 Li 2.61-2.62
Li: 0.5000 0.2700 0.5393  1 Zn 2.59, 2 Li 2.61-2.62
Li: 0.0000 0.5796 0.1562  2 Zn 2.59, 4 Li 2.84, 2 Mg 2.86
Li: 0.0000 0.0000 0.0000  4 Mg 2.82, 4 Li 3.13
Li: 0.0000 0.4204 0.8438  2 Zn 2.59, 4 Li 2.84, 2 Mg 2.86
Li: 0.5000 0.9107 0.8233  6 Li 2.84-3.13, 2 Zn 2.90-2.91, 2 Mg 3.11
Li: 0.5000 0.0893 0.1767  6 Li 2.84-3.13, 2 Zn 2.90-2.91, 2 Mg 3.11
Mg: 0.5000 0.5000 0.0000  8 Li 2.82-2.86
Mg: 0.0000 0.1772 0.3523  4 Zn 2.97-2.98, 8 Li 3.11-3.28, 2 Mg 3.19
Mg: 0.0000 0.8228 0.6477  4 Zn 2.97-2.98, 8 Li 3.11-3.28, 2 Mg 3.19
Zn: 0.5000 0.6466 0.2906  4 Li 2.59-2.90
Zn: 0.5000 0.3534 0.7094  4 Li 2.59-2.90

The calculation puts the energy above the most stable polymorph in this dataset at 0.0 kJ/mol of atoms. The value obtained for the calculated volume is 226.4 Å³ per cell. For the total energy, the calculation gives -1.769 eV/atom. The formation energy is -0.042 eV/atom. As for the space group: P2/m.

=====

Record 3
The following is a PBE calculation of crystalline Li4Mg7Zn at its relaxed geometry, from the Alexandria database.

Cell: 5.2388 10.1848 5.5608 Å, 79.48 91.06 59.39°
With the nearest neighbours (Å) after each atom.
Atoms (fractional coordinates):
Li: 0.5296 0.2264 0.6414  2 Li 2.67-2.99, 1 Zn 2.78, 2 Mg 2.80-2.83
Li: 0.4704 0.7736 0.3587  2 Li 2.67-2.99, 1 Zn 2.78, 2 Mg 2.80-2.83
Li: 0.5356 0.7111 0.8515  2 Li 2.67-2.99, 1 Mg 2.98
Li: 0.4644 0.2889 0.1485  2 Li 2.67-2.99, 1 Mg 2.98
Mg: 0.8550 0.8996 0.5471  4 Li 3.02-3.30, 6 Mg 3.06-3.35, 2 Zn 3.10-3.26
Mg: 0.1450 0.1004 0.4529  4 Li 3.02-3.30, 6 Mg 3.06-3.35, 2 Zn 3.10-3.26
Mg: 0.0852 0.6767 0.1296  4 Li 2.98-3.22, 5 Mg 2.98-3.32, 1 Zn 3.03
Mg: 0.9148 0.3233 0.8704  4 Li 2.98-3.22, 5 Mg 2.98-3.32, 1 Zn 3.03
Mg: 0.2023 0.5412 0.6700  2 Li 2.80-3.06, 3 Mg 2.98-3.06
Mg: 0.5000 0.0000 0.0000  2 Zn 2.62, 2 Li 2.83
Mg: 0.7977 0.4588 0.3300  2 Li 2.80-3.06, 3 Mg 2.98-3.06
Zn: 0.0000 0.0000 0.0000  2 Mg 2.62, 2 Li 2.78

The value obtained for the calculated volume is 248.9 Å³ per cell. For the total energy, the calculation gives -1.708 eV/atom. The formation energy is -0.034 eV/atom. As for the space group: P-1.

=====

Record 4
The following is a PBE calculation of crystalline Li23Mg6Zn at its relaxed geometry, from the Alexandria database.

Cell: 9.4138 9.4138 9.4138 Å, 60.00 60.00 60.00°
With the nearest neighbours (Å) after each atom.
Atoms (fractional coordinates):
Li: 0.6470 0.1177 0.1177  4 Li 2.71-2.94
Li: 0.3530 0.8823 0.8823  4 Li 2.71-2.94
Li: 0.1177 0.1177 0.6470  4 Li 2.71-2.94
Li: 0.1177 0.1177 0.1177  4 Li 2.71-2.94
Li: 0.8823 0.8823 0.3530  4 Li 2.71-2.94
Li: 0.8823 0.8823 0.8823  4 Li 2.71-2.94
Li: 0.1177 0.6470 0.1177  4 Li 2.71-2.94
Li: 0.8823 0.3530 0.8823  4 Li 2.71-2.94
Li: 0.5000 0.5000 0.0000  8 Li 2.72-2.94
Li: 0.0000 0.0000 0.5000  8 Li 2.72-2.94
Li: 0.5000 0.0000 0.0000  8 Li 2.72-2.94
Li: 0.0000 0.5000 0.5000  8 Li 2.72-2.94
Li: 0.5000 0.0000 0.5000  8 Li 2.72-2.94
Li: 0.0000 0.5000 0.0000  8 Li 2.72-2.94
Li: 0.9738 0.3421 0.3421  3 Li 2.72
Li: 0.0262 0.6579 0.6579  3 Li 2.72
Li: 0.3421 0.3421 0.9738  3 Li 2.72
Li: 0.3421 0.3421 0.3421  3 Li 2.72
Li: 0.6579 0.6579 0.0262  3 Li 2.72
Li: 0.6579 0.6579 0.6579  3 Li 2.72
Li: 0.3421 0.9738 0.3421  3 Li 2.72
Li: 0.6579 0.0262 0.6579  3 Li 2.72
Li: 0.0000 0.0000 0.0000  8 Li 2.71
Mg: 0.7114 0.7114 0.2886  1 Zn 2.81, 4 Li 3.06
Mg: 0.2886 0.2886 0.7114  1 Zn 2.81, 4 Li 3.06
Mg: 0.7114 0.2886 0.2886  1 Zn 2.81, 4 Li 3.06
Mg: 0.2886 0.7114 0.7114  1 Zn 2.81, 4 Li 3.06
Mg: 0.7114 0.2886 0.7114  1 Zn 2.81, 4 Li 3.06
Mg: 0.2886 0.7114 0.2886  1 Zn 2.81, 4 Li 3.06
Zn: 0.5000 0.5000 0.5000  6 Mg 2.81

The value obtained for the calculated volume is 589.9 Å³ per cell. For the total energy, the calculation gives -1.824 eV/atom. The formation energy is 0.005 eV/atom. As for the space group: Fm-3m.

=====

Record 5
The following is a PBE calculation of crystalline Li2Mg2Zn at its relaxed geometry, from the Alexandria database.

Cell: 7.5032 7.5032 3.4938 Å, 90.00 90.00 90.00°
With the nearest neighbours (Å) after each atom.
Atoms (fractional coordinates):
Zn: 0.0000 0.0000 0.0000  4 Mg 2.88
Zn: 0.5000 0.5000 0.0000  4 Mg 2.88
Mg: 0.3562 0.8562 0.0000  6 Li 2.75-2.85, 2 Zn 2.88, 1 Mg 3.05
Mg: 0.8562 0.6438 0.0000  6 Li 2.75-2.85, 2 Zn 2.88, 1 Mg 3.05
Mg: 0.6438 0.1438 0.0000  6 Li 2.75-2.85, 2 Zn 2.88, 1 Mg 3.05
Mg: 0.1438 0.3562 0.0000  6 Li 2.75-2.85, 2 Zn 2.88, 1 Mg 3.05
Li: 0.1564 0.6564 0.5000  6 Mg 2.75-2.85
Li: 0.6564 0.8436 0.5000  6 Mg 2.75-2.85
Li: 0.8436 0.3436 0.5000  6 Mg 2.75-2.85
Li: 0.3436 0.1564 0.5000  6 Mg 2.75-2.85

The calculation puts the energy above the most stable polymorph in this dataset at 13.7 kJ/mol of atoms. The value obtained for the calculated volume is 196.7 Å³ per cell. For the total energy, the calculation gives -1.610 eV/atom. The formation energy is 0.048 eV/atom. As for the space group: P4/mbm.

=====

Record 6
The following is a PBE calculation of crystalline LiMg2Zn6 at its relaxed geometry, from the Alexandria database.

Cell: 2.9530 7.6480 7.6480 Å, 60.01 89.98 89.98°
With the nearest neighbours (Å) after each atom.
Atoms (fractional coordinates):
Li: 0.0000 0.0000 0.0000  12 Zn 2.92-2.93, 2 Li 2.95
Mg: 0.0000 0.3333 0.3333  2 Mg 2.95, 12 Zn 2.95-2.96
Mg: 0.0000 0.6667 0.6667  2 Mg 2.95, 12 Zn 2.95-2.96
Zn: 0.4986 0.6698 0.0000  3 Zn 2.53-2.60
Zn: 0.5014 0.0000 0.3302  3 Zn 2.53-2.60
Zn: 0.5014 0.3302 0.0000  3 Zn 2.53-2.60
Zn: 0.5000 0.6697 0.3303  3 Zn 2.53-2.60
Zn: 0.4986 0.0000 0.6698  3 Zn 2.53-2.60
Zn: 0.5000 0.3303 0.6697  3 Zn 2.53-2.60

The value obtained for the calculated volume is 149.6 Å³ per cell. For the total energy, the calculation gives -1.534 eV/atom. The formation energy is -0.118 eV/atom. As for the space group: P6/mmm.